# 1
DFT (PBE) results for a relaxed In2BiBr crystal.

Lattice parameters (Å, degrees): 5.4836 5.4836 5.4836 60.00 60.00 60.00
Last column: nearest neighbours and their distance in Å.
Fractional coordinates of all 4 atoms:
In: 0.2500 0.2500 0.2500  4 Br 3.36, 4 Bi 3.36
In: 0.7500 0.7500 0.7500  4 Bi 3.36, 4 Br 3.36
Bi: 0.0000 0.0000 0.0000  8 In 3.36
Br: 0.5000 0.5000 0.5000  8 In 3.36

Output
Spin magnetization = 0.0 Bohr magnetons per cell
Formation energy without anion corrections = -0.176 eV/atom
Crystal system = cubic
Relative energy among the computed polymorphs = 45 meV per atom
Space group = No. 225

=====

# 2
DFT (PBE) results for a relaxed TlHg4F crystal.

Lattice parameters (Å, degrees): 6.2091 6.2091 6.2091 60.00 60.00 60.00
Last column: nearest neighbours and their distance in Å.
Fractional coordinates of all 6 atoms:
Tl: 0.0000 0.0000 0.0000  12 Hg 3.64, 4 F 3.80
Hg: 0.3759 0.3759 0.3759  6 Hg 3.08-3.13
Hg: 0.3759 0.3759 0.8724  6 Hg 3.08-3.13
Hg: 0.3759 0.8724 0.3759  6 Hg 3.08-3.13
Hg: 0.8724 0.3759 0.3759  6 Hg 3.08-3.13
F: 0.7500 0.7500 0.7500  12 Hg 3.64, 4 Tl 3.80

Output
Spin magnetization = 0.0 Bohr magnetons per cell
Formation energy without anion corrections = -0.319 eV/atom
Crystal system = cubic
Space group = No. 216

=====

# 3
DFT (PBE) results for a relaxed LaSmHo6 crystal.

Lattice parameters (Å, degrees): 6.6484 6.6484 6.6484 81.22 81.22 81.22
Last column: nearest neighbours and their distance in Å.
Fractional coordinates of all 8 atoms:
La: 0.0000 0.0000 0.0000  6 Ho 3.27
Sm: 0.5000 0.5000 0.5000  6 Ho 3.47
Ho: 0.1537 0.1537 0.5178  5 Ho 3.15-3.53, 1 La 3.27, 1 Sm 3.47
Ho: 0.1537 0.5178 0.1537  5 Ho 3.15-3.53, 1 La 3.27, 1 Sm 3.47
Ho: 0.4822 0.8463 0.8463  5 Ho 3.15-3.53, 1 La 3.27, 1 Sm 3.47
Ho: 0.5178 0.1537 0.1537  5 Ho 3.15-3.53, 1 La 3.27, 1 Sm 3.47
Ho: 0.8463 0.4822 0.8463  5 Ho 3.15-3.53, 1 La 3.27, 1 Sm 3.47
Ho: 0.8463 0.8463 0.4822  5 Ho 3.15-3.53, 1 La 3.27, 1 Sm 3.47

Output
Spin magnetization = 0.0 Bohr magnetons per cell
Crystal system = trigonal
Relative energy among the computed polymorphs = 193 meV per atom
Energy relative to the elements = 563 meV per atom
Space group = No. 166

=====

# 4
DFT (PBE) results for a relaxed TbPrEr2Sc2 crystal.

Lattice parameters (Å, degrees): 6.7685 9.5459 5.4883 90.00 90.00 90.00
Last column: nearest neighbours and their distance in Å.
Fractional coordinates of all 12 atoms:
Tb: 0.0000 0.0000 0.0000  2 Pr 3.38, 6 Er 3.59-3.61, 6 Sc 3.59-3.60
Tb: 0.5000 0.5000 0.5000  2 Pr 3.38, 6 Er 3.59-3.61, 6 Sc 3.59-3.60
Pr: 0.0000 0.5000 0.5000  2 Tb 3.38, 6 Sc 3.60, 6 Er 3.60
Pr: 0.5000 0.0000 0.0000  2 Tb 3.38, 6 Sc 3.60, 6 Er 3.60
Er: 0.2482 0.1665 0.5000  5 Sc 3.17-3.40
Er: 0.2518 0.6665 0.0000  5 Sc 3.17-3.40
Er: 0.7482 0.3335 0.0000  5 Sc 3.17-3.40
Er: 0.7518 0.8335 0.5000  5 Sc 3.17-3.40
Sc: 0.2503 0.3333 0.0000  5 Er 3.17-3.40
Sc: 0.2497 0.8333 0.5000  5 Er 3.17-3.40
Sc: 0.7503 0.1667 0.5000  5 Er 3.17-3.40
Sc: 0.7497 0.6667 0.0000  5 Er 3.17-3.40

Output
Spin magnetization = 0.0 Bohr magnetons per cell
Crystal system = orthorhombic
Energy relative to the elements = 80 meV per atom
Space group = No. 58

=====

# 5
DFT (PBE) results for a relaxed LaSm5N6 crystal.

Lattice parameters (Å, degrees): 6.2643 6.2643 6.2619 99.59 99.59 120.00
Last column: nearest neighbours and their distance in Å.
Fractional coordinates of all 12 atoms:
La: 0.0000 0.0000 0.0000  6 N 2.59-2.60
Sm: 0.1679 0.8321 0.5000  6 N 2.51-2.57
Sm: 0.3336 0.6664 0.0000  6 N 2.55
Sm: 0.5000 0.5000 0.5000  6 N 2.52-2.56
Sm: 0.6664 0.3336 0.0000  6 N 2.55
Sm: 0.8321 0.1679 0.5000  6 N 2.51-2.57
N: 0.0843 0.4231 0.2528  5 Sm 2.51-2.56, 1 La 2.60
N: 0.2550 0.2550 0.7481  5 Sm 2.52-2.57, 1 La 2.59
N: 0.4231 0.0843 0.2528  5 Sm 2.51-2.56, 1 La 2.60
N: 0.5769 0.9157 0.7472  5 Sm 2.51-2.56, 1 La 2.60
N: 0.7450 0.7450 0.2519  5 Sm 2.52-2.57, 1 La 2.59
N: 0.9157 0.5769 0.7472  5 Sm 2.51-2.56, 1 La 2.60

Output
Spin magnetization = 0.0 Bohr magnetons per cell
Formation energy without anion corrections = -1.447 eV/atom
Crystal system = monoclinic
Space group = No. 12

=====

# 6
DFT (PBE) results for a relaxed K4FeAs crystal.

Lattice parameters (Å, degrees): 6.7877 6.7877 6.7877 60.00 60.00 60.00
Last column: nearest neighbours and their distance in Å.
Fractional coordinates of all 6 atoms:
K: 0.1237 0.1237 0.1237  6 K 3.36-3.43
K: 0.1237 0.1237 0.6290  6 K 3.36-3.43
K: 0.1237 0.6290 0.1237  6 K 3.36-3.43
K: 0.6290 0.1237 0.1237  6 K 3.36-3.43
Fe: 0.5000 0.5000 0.5000  12 K 3.98, 4 As 4.16
As: 0.7500 0.7500 0.7500  12 K 3.98, 4 Fe 4.16

Output
Spin magnetization = 3.2 Bohr magnetons per cell
Crystal system = cubic
Energy relative to the elements = 809 meV per atom
Space group = No. 216